Compound: BiMoI2O
Source: Alexandria
Functional: PBE+U
Structure: relaxed

POSCAR file:
```
BiMoI2O
1.0
6.043 0.000 0.000
0.000 6.043 0.000
0.000 0.000 3.902
Bi Mo I O
1 1 2 1
Direct
0.000 0.000 0.000
0.500 0.500 0.500
0.000 0.500 0.500
0.500 0.000 0.500
0.500 0.500 0.000
```

Properties
The calculation puts the total energy at -4.023 eV/atom.